VASP calculation (PBE+U) on crystalline Na4Dy3MoO8 at its relaxed geometry.

```
16
Lattice="-6.065 -0.110 -2.958 0.416 -6.761 -0.600 0.747 2.877 6.059" Properties=species:S:1:pos:R:3 pbc="T T T"
Dy 0.581 -1.942 2.730
O -1.082 -0.467 2.235
O -3.821 -3.527 0.266
O -1.414 -1.913 -0.797
O -3.489 -2.081 3.297
Na -3.032 -0.055 -1.479
O -4.130 -0.500 0.787
O -0.772 -3.494 1.714
O -4.511 -1.969 -2.308
Dy -2.451 -1.997 1.250
Na 0.373 1.439 3.030
Mo 0.208 -3.380 -0.300
O -0.391 -2.025 4.809
Dy -2.824 -3.436 -1.779
Na -2.659 1.383 1.550
Na 0.000 0.000 0.000
```

## Properties
N(E_F): 0.00 states/eV per atom
electronic total energy: -6.629 eV per atom